A plane-wave DFT calculation with PBE was carried out for Y2MoAs after structural relaxation.

a b c (Å): 4.875 4.875 4.875
angles (deg): 60.00 60.00 60.00
Element x y z (fractional)
1 As 0.500 0.500 0.500
2 Mo 0.250 0.250 0.250
3 Y 0.000 0.000 0.000
4 Y 0.750 0.750 0.750

Summary:
**Uncorrected energy**: -28.0 eV for the cell shown
**Mass density**: 7.07 g cm⁻³
**Size of the total moment**: 0.9 μB per formula unit